Entry from Alexandria via LeMat-Bulk: Al2CrF after structural relaxation (PBE with a Hubbard U).

Unit cell a=6.214 b=6.214 c=6.214 alpha=90.00 beta=90.00 gamma=90.00
Space group Fm-3m (No. 225)
One atom of each set of equivalent atoms:
Al 0.250 0.250 0.250 (multiplicity 8)
Cr 0.000 0.000 0.000 (multiplicity 4)
F 0.000 0.000 0.500 (multiplicity 4)

The distance to the lowest polymorph of the same formula comes out at 803 meV/atom. For the density of states at the Fermi level, the calculation gives 13.950 states/eV per cell. The value obtained for the total energy is -59.7 eV for the cell shown.